! CaCeTm2, optimized geometry, DFT PBE-GGA; values from VASP
! - N(E_F) (states/eV per atom) = 1.58
! - energy above the most stable polymorph in this dataset (eV per atom) = 0.0046
! - symmetry = P4/mmm (123)
! - energy of formation from the pure elements (eV/f.u.) = 0.39
! - calculated density (g cm⁻³) = 6.697
! - E_tot (eV per atom) = -4.121
&SYSTEM
  ibrav = 0, nat = 4, ntyp = 3
/
ATOMIC_SPECIES
Ca 40.08 Ca.upf
Tm 168.93 Tm.upf
Ce 140.12 Ce.upf
CELL_PARAMETERS angstrom
-0.642 3.497 0.431
-3.237 -0.412 -1.475
-3.889 -1.830 9.048
ATOMIC_POSITIONS angstrom
Ca -3.884 0.627 4.002
Tm -3.020 -1.421 7.026
Tm -0.869 -0.409 2.022
Ce -1.940 1.542 -0.522